Computed, not measured: a geometry-optimized BeCrSb2 structure at the PBE level of DFT.

DOS at the Fermi energy	0.532	states/eV per atom
total moment	6.5	μB per cell
formation energy without anion corrections	0.504	eV per atom
V	155.5	Å³ per cell

Lattice parameters (Å, degrees): 3.8659 5.1697 7.7800 90.00 90.00 90.00
Closest atoms and distances in Å follow each position.
Space group Immm (No. 71)
Unique sites:
Be1 0.0000 0.0000 0.0000 [2 per cell]  4 Sb 2.57
Cr1 0.0000 0.0000 0.5000 [2 per cell]  8 Sb 2.93-3.09, 4 Be 3.23
Sb1 0.0000 0.5000 0.2829 [4 per cell]  2 Be 2.57

Computed, not measured: a geometry-optimized LaEu2Y structure at the PBE level of DFT.

DOS at the Fermi energy	1.336	states/eV per atom
distance to the lowest polymorph of the same formula	0.056	eV/atom
total moment	58.3	μB per cell
V	599.5	Å³ per cell

Lattice parameters (Å, degrees): 8.4320 8.4320 8.4320 90.00 90.00 90.00
Closest atoms and distances in Å follow each position.
Space group Fm-3m (No. 225)
Unique sites:
La1 0.0000 0.0000 0.0000 [4 per cell]  8 Eu 3.65
Eu1 0.2500 0.2500 0.2500 [8 per cell]  4 La 3.65, 4 Y 3.65
Y1 0.0000 0.0000 0.5000 [4 per cell]  8 Eu 3.65

Computed, not measured: a geometry-optimized TaNiAs2 structure at the PBE level of DFT.

DOS at the Fermi energy	0.915	states/eV per atom
total moment	0.0	μB per cell
V	64.2	Å³ per cell

Lattice parameters (Å, degrees): 3.3047 3.3037 6.0202 90.00 102.58 90.00
Closest atoms and distances in Å follow each position.
Space group P2/m (No. 10)
Unique sites:
Ta1 0.0000 0.0000 0.0000 [1 per cell]  8 As 2.71-2.79, 2 Ni 3.01
Ni1 0.0000 0.0000 0.5000 [1 per cell]  4 As 2.41
As1 0.3836 0.5000 0.7530 [2 per cell]  2 Ni 2.41

Computed, not measured: a geometry-optimized Rb2Ca2Ge structure at the PBE level of DFT.

DOS at the Fermi energy	0.173	states/eV per atom
distance to the lowest polymorph of the same formula	0.469	eV/atom
total moment	0.0	μB per cell
V	459.4	Å³ per cell

Lattice parameters (Å, degrees): 8.5491 8.5491 6.2853 90.00 90.00 90.00
Closest atoms and distances in Å follow each position.
Space group P4/mbm (No. 127)
Unique sites:
Rb1 0.1368 0.3632 0.0000 [4 per cell]  1 Rb 3.31, 2 Ge 3.32
Ca1 0.1890 0.6890 0.5000 [4 per cell]  6 Rb 3.78-4.22
Ge1 0.0000 0.0000 0.0000 [2 per cell]  4 Rb 3.32

Computed, not measured: a geometry-optimized Tb2SmIn structure at the PBE level of DFT.

DOS at the Fermi energy	0.999	states/eV per atom
distance to the lowest polymorph of the same formula	0.035	eV/atom
total moment	0.0	μB per cell
V	120.6	Å³ per cell

Lattice parameters (Å, degrees): 3.6052 3.6052 9.2828 90.00 90.00 90.00
Closest atoms and distances in Å follow each position.
Space group P4/mmm (No. 123)
Unique sites:
Tb1 0.0000 0.0000 0.2241 [2 per cell]  4 In 3.29, 4 Tb 3.61, 4 Sm 3.61
Sm1 0.5000 0.5000 0.5000 [1 per cell]  4 Sm 3.61, 8 Tb 3.61
In1 0.5000 0.5000 0.0000 [1 per cell]  8 Tb 3.29, 4 In 3.61

Computed, not measured: a geometry-optimized NpPa2N4 structure at the PBE level of DFT.

DOS at the Fermi energy	1.213	states/eV per atom
distance to the lowest polymorph of the same formula	0.041	eV/atom
total moment	15.1	μB per cell
formation energy without anion corrections	-1.280	eV per atom
V	316.2	Å³ per cell

Lattice parameters (Å, degrees): 3.6691 3.6691 27.1225 90.00 90.00 120.00
Closest atoms and distances in Å follow each position.
Space group R-3m (No. 166, hexagonal axes)
Unique sites:
Np1 0.0000 0.0000 0.0000 [3 per cell]  6 N 2.54
Pa1 0.0000 0.0000 0.1095 [6 per cell]  4 N 2.24-2.38
N1 0.0000 0.0000 0.1972 [6 per cell]  4 Pa 2.24-2.38
N2 0.0000 0.0000 0.3850 [6 per cell]  3 Np 2.54, 3 Pa 2.64

Computed, not measured: a geometry-optimized KTl2Co structure at the PBE level of DFT.

DOS at the Fermi energy	0.717	states/eV per atom
total moment	1.6	μB per cell
V	221.5	Å³ per cell

Lattice parameters (Å, degrees): 3.2423 4.2423 16.1007 90.00 90.00 90.00
Closest atoms and distances in Å follow each position.
Space group Imm2 (No. 44)
Unique sites:
K1 0.0000 0.0000 0.0000 [2 per cell]  2 K 3.24, 2 Co 3.60, 2 Tl 3.61
Tl1 0.0000 0.0000 0.6601 [2 per cell]  2 Co 2.78
Tl2 0.0000 0.5000 0.8184 [2 per cell]  4 Co 2.68
Co1 0.0000 0.5000 0.3007 [2 per cell]  6 Tl 2.68-2.78

Computed, not measured: a geometry-optimized BeReP structure at the PBE level of DFT.

DOS at the Fermi energy	0.456	states/eV per atom
distance to the lowest polymorph of the same formula	0.552	eV/atom
total moment	0.0	μB per cell
V	40.1	Å³ per cell

Lattice parameters (Å, degrees): 3.9057 3.9057 3.0325 90.00 90.00 120.00
Closest atoms and distances in Å follow each position.
Space group P-6m2 (No. 187)
Unique sites:
Be1 0.0000 0.0000 0.0000 [1 per cell]  6 P 2.72, 6 Re 2.72, 2 Be 3.03
Re1 0.3333 0.6667 0.5000 [1 per cell]  3 P 2.25
P1 0.6667 0.3333 0.5000 [1 per cell]  3 Re 2.25

Computed, not measured: a geometry-optimized LiTm4Pt structure at the PBE level of DFT.

DOS at the Fermi energy	1.376	states/eV per atom
total moment	0.0	μB per cell
V	720.3	Å³ per cell

Lattice parameters (Å, degrees): 10.0001 10.0001 7.2031 90.00 90.00 90.00
Closest atoms and distances in Å follow each position.
Space group I4_1md (No. 109)
Unique sites:
Li1 0.0000 0.0000 0.0000 [4 per cell]  4 Tm 2.73-3.00, 1 Pt 2.84
Tm1 0.0000 0.1918 0.3206 [8 per cell]  1 Pt 2.81, 2 Li 3.00-3.12
Tm2 0.0000 0.2373 0.8124 [8 per cell]  2 Pt 2.64-2.80, 1 Li 2.73
Pt1 0.0000 0.0000 0.6052 [4 per cell]  6 Tm 2.64-2.81, 1 Li 2.84

Computed, not measured: a geometry-optimized AgSbTe2 structure at the PBE level of DFT.

DOS at the Fermi energy	0.197	states/eV per atom
total moment	0.0	μB per cell
formation energy without anion corrections	-0.032	eV per atom
V	114.6	Å³ per cell

Lattice parameters (Å, degrees): 4.3490 4.3490 6.0608 90.00 90.00 90.00
Closest atoms and distances in Å follow each position.
Space group P4/mmm (No. 123)
Unique sites:
Ag1 0.0000 0.0000 0.0000 [1 per cell]  6 Te 3.03-3.08
Sb1 0.5000 0.5000 0.5000 [1 per cell]  6 Te 3.03-3.08
Te1 0.0000 0.0000 0.5000 [1 per cell]  2 Ag 3.03, 4 Sb 3.08
Te2 0.5000 0.5000 0.0000 [1 per cell]  2 Sb 3.03, 4 Ag 3.08

Computed, not measured: a geometry-optimized KIr2Cl structure at the PBE level of DFT.

DOS at the Fermi energy	1.921	states/eV per atom
distance to the lowest polymorph of the same formula	1.306	eV/atom
total moment	1.6	μB per cell
formation energy without anion corrections	1.353	eV per atom
V	104.2	Å³ per cell

Lattice parameters (Å, degrees): 4.5431 4.5431 5.0504 90.00 90.00 90.00
Closest atoms and distances in Å follow each position.
Space group P4/mmm (No. 123)
Unique sites:
K1 0.0000 0.0000 0.0000 [1 per cell]  2 Cl 2.53
Ir1 0.5000 0.5000 0.2396 [2 per cell]  2 Ir 2.42-2.63
Cl1 0.0000 0.0000 0.5000 [1 per cell]  2 K 2.53

Computed, not measured: a geometry-optimized NpPd14Au structure at the PBE level of DFT.

DOS at the Fermi energy	2.164	states/eV per atom
total moment	1.3	μB per cell
V	257.2	Å³ per cell

Lattice parameters (Å, degrees): 5.7229 5.7229 7.8535 90.00 90.00 90.00
Closest atoms and distances in Å follow each position.
Space group P4/mmm (No. 123)
Unique sites:
Np1 0.0000 0.0000 0.0000 [1 per cell]  12 Pd 2.82-2.86
Pd1 0.0000 0.0000 0.5000 [1 per cell]  12 Pd 2.80-2.86
Pd2 0.0000 0.5000 0.0000 [2 per cell]  8 Pd 2.83, 2 Np 2.86, 2 Au 2.86
Pd3 0.0000 0.5000 0.5000 [2 per cell]  12 Pd 2.81-2.86
Pd4 0.2482 0.2482 0.2518 [8 per cell]  10 Pd 2.80-2.88, 1 Np 2.82, 1 Au 2.84
Pd5 0.5000 0.5000 0.5000 [1 per cell]  12 Pd 2.82-2.86
Au1 0.5000 0.5000 0.0000 [1 per cell]  12 Pd 2.84-2.86

Computed, not measured: a geometry-optimized Ag2PdAu structure at the PBE level of DFT.

DOS at the Fermi energy	0.478	states/eV per atom
distance to the lowest polymorph of the same formula	0.252	eV/atom
total moment	0.0	μB per cell
V	302.6	Å³ per cell

Lattice parameters (Å, degrees): 3.9221 3.9221 19.6712 90.00 90.00 90.00
Closest atoms and distances in Å follow each position.
Space group I-42d (No. 122)
Unique sites:
Ag1 0.2487 0.2500 0.1250 [8 per cell]  4 Ag 2.77-2.78, 2 Pd 2.82, 2 Au 2.82
Pd1 0.0000 0.0000 0.0000 [4 per cell]  4 Au 2.77, 4 Ag 2.82
Au1 0.0000 0.0000 0.5000 [4 per cell]  4 Pd 2.77, 4 Ag 2.82

Computed, not measured: a geometry-optimized U6SiS5 structure at the PBE level of DFT.

DOS at the Fermi energy	2.146	states/eV per atom
total moment	26.0	μB per cell
formation energy without anion corrections	-1.153	eV per atom
V	500.8	Å³ per cell

Lattice parameters (Å, degrees): 6.6327 11.7552 6.8277 90.00 109.82 90.00
Closest atoms and distances in Å follow each position.
Space group C2/m (No. 12)
Unique sites:
U1 0.2427 0.0000 0.2498 [4 per cell]  5 S 2.72-2.75, 1 Si 2.79
U2 0.2450 0.1694 0.7451 [8 per cell]  5 S 2.75, 1 Si 2.80
Si1 0.0000 0.5000 0.0000 [2 per cell]  6 U 2.79-2.80
S1 0.0000 0.0000 0.5000 [2 per cell]  6 U 2.72-2.75
S2 0.0000 0.1681 0.0000 [4 per cell]  6 U 2.75
S3 0.0000 0.3385 0.5000 [4 per cell]  6 U 2.73-2.75

Computed, not measured: a geometry-optimized CaHf2FeN4 structure at the PBE level of DFT.

DOS at the Fermi energy	0.484	states/eV per atom
total moment	4.2	μB per cell
formation energy without anion corrections	-1.227	eV per atom
V	389.6	Å³ per cell

Lattice parameters (Å, degrees): 3.2070 10.9373 11.1083 90.00 90.00 90.00
Closest atoms and distances in Å follow each position.
Space group Cmcm (No. 63)
Unique sites:
Ca1 0.0000 0.1083 0.2500 [4 per cell]  6 N 2.55-2.62
Hf1 0.0000 0.3668 0.0476 [8 per cell]  6 N 2.11-2.34
Fe1 0.0000 0.1579 0.7500 [4 per cell]  4 N 1.85-1.91
N1 0.0000 0.0000 0.0000 [4 per cell]  4 Hf 2.23
N2 0.0000 0.2628 0.6128 [8 per cell]  1 Fe 1.91, 1 Hf 2.11
N3 0.0000 0.4270 0.2500 [4 per cell]  2 Fe 1.85

Computed, not measured: a geometry-optimized Zn4FeAu structure at the PBE level of DFT.

DOS at the Fermi energy	0.891	states/eV per atom
total moment	10.9	μB per cell
V	352.5	Å³ per cell

Lattice parameters (Å, degrees): 7.0639 7.0639 7.0639 90.00 90.00 90.00
Closest atoms and distances in Å follow each position.
Space group F-43m (No. 216)
Unique sites:
Zn1 0.1244 0.1244 0.3756 [16 per cell]  6 Zn 2.49-2.51
Fe1 0.2500 0.2500 0.7500 [4 per cell]  12 Zn 2.93, 4 Au 3.06
Au1 0.0000 0.0000 0.0000 [4 per cell]  12 Zn 2.93, 4 Fe 3.06

Computed, not measured: a geometry-optimized BaBiPt3 structure at the PBE level of DFT.

DOS at the Fermi energy	1.519	states/eV per atom
distance to the lowest polymorph of the same formula	1.372	eV/atom
total moment	0.0	μB per cell
V	153.4	Å³ per cell

Lattice parameters (Å, degrees): 5.3529 5.3529 5.3529 90.00 90.00 90.00
Closest atoms and distances in Å follow each position.
Space group Pm-3m (No. 221)
Unique sites:
Ba1 0.0000 0.0000 0.0000 [1 per cell]  6 Pt 2.68
Bi1 0.5000 0.5000 0.5000 [1 per cell]  12 Pt 3.79
Pt1 0.0000 0.0000 0.5000 [3 per cell]  2 Ba 2.68

Computed, not measured: a geometry-optimized CoMo2Ir structure at the PBE level of DFT.

DOS at the Fermi energy	0.846	states/eV per atom
distance to the lowest polymorph of the same formula	0.145	eV/atom
total moment	0.5	μB per cell
V	57.1	Å³ per cell

Lattice parameters (Å, degrees): 2.7233 2.7233 7.6937 90.00 90.00 90.00
Closest atoms and distances in Å follow each position.
Space group P4mm (No. 99)
Unique sites:
Co1 0.0000 0.0000 0.0000 [1 per cell]  4 Mo 2.59, 4 Ir 2.65, 4 Co 2.72
Mo1 0.0000 0.0000 0.4848 [1 per cell]  4 Ir 2.71, 8 Mo 2.72-2.95
Mo2 0.5000 0.5000 0.7745 [1 per cell]  4 Co 2.59, 4 Mo 2.72
Ir1 0.5000 0.5000 0.2367 [1 per cell]  4 Co 2.65, 4 Mo 2.71, 4 Ir 2.72

Computed, not measured: a geometry-optimized CaGdAg2 structure at the PBE level of DFT.

DOS at the Fermi energy	0.776	states/eV per atom
total moment	7.2	μB per cell
V	101.0	Å³ per cell

Lattice parameters (Å, degrees): 3.6916 3.6916 7.4109 90.00 90.00 90.00
Closest atoms and distances in Å follow each position.
Space group P4/mmm (No. 123)
Unique sites:
Ca1 0.0000 0.0000 0.0000 [1 per cell]  8 Ag 3.26
Gd1 0.0000 0.0000 0.5000 [1 per cell]  8 Ag 3.14
Ag1 0.5000 0.5000 0.2646 [2 per cell]  4 Gd 3.14, 4 Ca 3.26, 1 Ag 3.49

Computed, not measured: a geometry-optimized Hf3ZrGa structure at the PBE level of DFT.

DOS at the Fermi energy	0.828	states/eV per atom
distance to the lowest polymorph of the same formula	0.000	eV/atom
total moment	0.0	μB per cell
V	227.6	Å³ per cell

Lattice parameters (Å, degrees): 6.9448 6.9448 5.4486 90.00 90.00 120.00
Closest atoms and distances in Å follow each position.
Space group P6_3/mmc (No. 194)
Unique sites:
Hf1 0.1902 0.3804 0.2500 [6 per cell]  2 Ga 2.66, 2 Hf 2.98
Zr1 0.3333 0.6667 0.7500 [2 per cell]  12 Hf 3.22-3.48
Ga1 0.0000 0.0000 0.0000 [2 per cell]  6 Hf 2.66, 2 Ga 2.72

| no. | E (eV per atom) |
| --- | --- |
| 1 | -4.894 |
| 2 | -7.848 |
| 3 | -6.830 |
| 4 | -1.651 |
| 5 | -4.414 |
| 6 | -10.599 |
| 7 | -2.931 |
| 8 | -7.046 |
| 9 | -4.423 |
| 10 | -3.346 |
| 11 | -3.814 |
| 12 | -5.706 |
| 13 | -3.371 |
| 14 | -8.969 |
| 15 | -9.186 |
| 16 | -2.685 |
| 17 | -3.406 |
| 18 | -9.395 |
| 19 | -5.757 |
| 20 | -8.164 |